(1)
# La2Nd3ErTe6 | the Alexandria database | PBE | optimized geometry
data_La2Nd3ErTe6
_chemical_formula_sum 'La4 Nd6 Er2 Te12'
_space_group_name_H-M_alt 'C 1 2/m 1'
_space_group_IT_number 12
_space_group_name_Hall '-C 2y'
_cell_length_a 19.572
_cell_length_b 4.472
_cell_length_c 9.052
_cell_angle_alpha 90.00
_cell_angle_beta 102.94
_cell_angle_gamma 90.00
loop_
_atom_site_label
_atom_site_type_symbol
_atom_site_fract_x
_atom_site_fract_y
_atom_site_fract_z
La1 La 0.167 0.000 0.335
Nd1 Nd 0.000 0.500 0.500
Nd2 Nd 0.172 0.000 0.836
Er1 Er 0.000 0.500 0.000
Te1 Te 0.003 0.000 0.762
Te2 Te 0.160 0.500 0.078
Te3 Te 0.165 0.500 0.587
# uncorrected formation energy: -1.4451 eV/atom


(2)
# Pm2ZnSb3Pd4 | the Alexandria database | PBE | optimized geometry
data_Pm2ZnSb3Pd4
_chemical_formula_sum 'Pm2 Zn1 Sb3 Pd4'
_space_group_name_H-M_alt 'P -4 m 2'
_space_group_IT_number 115
_space_group_name_Hall 'P -4 -2'
_cell_length_a 4.421
_cell_length_b 4.421
_cell_length_c 11.011
_cell_angle_alpha 90.00
_cell_angle_beta 90.00
_cell_angle_gamma 90.00
loop_
_atom_site_label
_atom_site_type_symbol
_atom_site_fract_x
_atom_site_fract_y
_atom_site_fract_z
Pm1 Pm 0.000 0.500 0.245
Zn1 Zn 0.000 0.000 0.500
Sb1 Sb 0.000 0.500 0.862
Sb2 Sb 0.500 0.500 0.500
Pd1 Pd 0.000 0.000 0.000
Pd2 Pd 0.000 0.500 0.629
Pd3 Pd 0.500 0.500 0.000
# uncorrected formation energy: -0.8103 eV/atom


(3)
# PaAl2In | the Alexandria database | PBE | optimized geometry
data_PaAl2In
_chemical_formula_sum 'Pa4 Al8 In4'
_space_group_name_H-M_alt 'F m -3 m'
_space_group_IT_number 225
_space_group_name_Hall '-F 4 2 3'
_cell_length_a 7.005
_cell_length_b 7.005
_cell_length_c 7.005
_cell_angle_alpha 90.00
_cell_angle_beta 90.00
_cell_angle_gamma 90.00
loop_
_atom_site_label
_atom_site_type_symbol
_atom_site_fract_x
_atom_site_fract_y
_atom_site_fract_z
Pa1 Pa 0.000 0.000 0.000
Al1 Al 0.250 0.250 0.250
In1 In 0.000 0.000 0.500
# offset from the most stable computed form: 1.13 eV per formula unit
# energy of formation: 0.471 eV/f.u.


(4)
# BaPrPd2 | the Alexandria database | PBE | optimized geometry
data_BaPrPd2
_chemical_formula_sum 'Ba3 Pr3 Pd6'
_space_group_name_H-M_alt 'R -3 m'
_space_group_IT_number 166
_space_group_name_Hall '-R 3 2"'
_cell_length_a 4.9257
_cell_length_b 4.9257
_cell_length_c 16.8899
_cell_angle_alpha 90.00
_cell_angle_beta 90.00
_cell_angle_gamma 120.00
loop_
_atom_site_label
_atom_site_type_symbol
_atom_site_fract_x
_atom_site_fract_y
_atom_site_fract_z
Ba1 Ba 0.0000 0.0000 0.0000
Pr1 Pr 0.0000 0.0000 0.5000
Pd1 Pd 0.0000 0.0000 0.2163
# offset from the most stable computed form: 0.43 eV per formula unit
# energy of formation: -2.104 eV/f.u.


(5)
# SrMg2SnF | the Alexandria database | PBE | optimized geometry
data_SrMg2SnF
_chemical_formula_sum 'Sr1 Mg2 Sn1 F1'
_space_group_name_H-M_alt 'P 4/m m m'
_space_group_IT_number 123
_space_group_name_Hall '-P 4 2'
_cell_length_a 4.844
_cell_length_b 4.844
_cell_length_c 4.977
_cell_angle_alpha 90.00
_cell_angle_beta 90.00
_cell_angle_gamma 90.00
loop_
_atom_site_label
_atom_site_type_symbol
_atom_site_fract_x
_atom_site_fract_y
_atom_site_fract_z
Sr1 Sr 0.000 0.000 0.000
Mg1 Mg 0.000 0.500 0.500
Sn1 Sn 0.500 0.500 0.000
F1 F 0.000 0.000 0.500
# uncorrected formation energy: -1.0710 eV/atom


(6)
# BaTlNiPb2 | the Alexandria database | PBE | optimized geometry
data_BaTlNiPb2
_chemical_formula_sum 'Ba1 Tl1 Ni1 Pb2'
_space_group_name_H-M_alt 'P 4/m m m'
_space_group_IT_number 123
_space_group_name_Hall '-P 4 2'
_cell_length_a 5.341
_cell_length_b 5.341
_cell_length_c 5.259
_cell_angle_alpha 90.00
_cell_angle_beta 90.00
_cell_angle_gamma 90.00
loop_
_atom_site_label
_atom_site_type_symbol
_atom_site_fract_x
_atom_site_fract_y
_atom_site_fract_z
Ba1 Ba 0.000 0.000 0.000
Tl1 Tl 0.500 0.500 0.000
Ni1 Ni 0.500 0.500 0.500
Pb1 Pb 0.000 0.500 0.500
# energy of formation: -0.594 eV/f.u.


(7)
# Tb4Mg3Rh | the Alexandria database | PBE | optimized geometry
data_Tb4Mg3Rh
_chemical_formula_sum 'Tb4 Mg3 Rh1'
_space_group_name_H-M_alt 'P 4/m m m'
_space_group_IT_number 123
_space_group_name_Hall '-P 4 2'
_cell_length_a 3.628
_cell_length_b 3.628
_cell_length_c 15.532
_cell_angle_alpha 90.00
_cell_angle_beta 90.00
_cell_angle_gamma 90.00
loop_
_atom_site_label
_atom_site_type_symbol
_atom_site_fract_x
_atom_site_fract_y
_atom_site_fract_z
Tb1 Tb 0.000 0.000 0.103
Tb2 Tb 0.000 0.000 0.372
Mg1 Mg 0.500 0.500 0.241
Mg2 Mg 0.500 0.500 0.500
Rh1 Rh 0.500 0.500 0.000
# energy of formation: -2.181 eV/f.u.


(8)
# ZnInCl | the Alexandria database | PBE | optimized geometry
data_ZnInCl
_chemical_formula_sum 'Zn4 In4 Cl4'
_space_group_name_H-M_alt 'F m m 2'
_space_group_IT_number 42
_space_group_name_Hall 'F 2 -2'
_cell_length_a 3.615
_cell_length_b 5.824
_cell_length_c 14.823
_cell_angle_alpha 90.00
_cell_angle_beta 90.00
_cell_angle_gamma 90.00
loop_
_atom_site_label
_atom_site_type_symbol
_atom_site_fract_x
_atom_site_fract_y
_atom_site_fract_z
Zn1 Zn 0.000 0.000 0.000
In1 In 0.000 0.000 0.341
Cl1 Cl 0.000 0.000 0.606
# offset from the most stable computed form: 0.13 eV per formula unit
# uncorrected formation energy: -0.2873 eV/atom


(9)
# CrCuRh | the Alexandria database | PBE | optimized geometry
data_CrCuRh
_chemical_formula_sum 'Cr4 Cu4 Rh4'
_space_group_name_H-M_alt 'F -4 3 m'
_space_group_IT_number 216
_space_group_name_Hall 'F -4 2 3'
_cell_length_a 5.669
_cell_length_b 5.669
_cell_length_c 5.669
_cell_angle_alpha 90.00
_cell_angle_beta 90.00
_cell_angle_gamma 90.00
loop_
_atom_site_label
_atom_site_type_symbol
_atom_site_fract_x
_atom_site_fract_y
_atom_site_fract_z
Cr1 Cr 0.000 0.000 0.000
Cu1 Cu 0.250 0.250 0.250
Rh1 Rh 0.250 0.250 0.750
# offset from the most stable computed form: 1.27 eV per formula unit
# energy of formation: 1.414 eV/f.u.


(10)
# KAlH6 | the Alexandria database | PBE | optimized geometry
data_KAlH6
_chemical_formula_sum 'K3 Al3 H18'
_space_group_name_H-M_alt 'R -3 m'
_space_group_IT_number 166
_space_group_name_Hall '-R 3 2"'
_cell_length_a 6.7999
_cell_length_b 6.7999
_cell_length_c 6.8664
_cell_angle_alpha 90.00
_cell_angle_beta 90.00
_cell_angle_gamma 120.00
loop_
_atom_site_label
_atom_site_type_symbol
_atom_site_fract_x
_atom_site_fract_y
_atom_site_fract_z
K1 K 0.0000 0.0000 0.0000
Al1 Al 0.0000 0.0000 0.5000
H1 H 0.0995 0.5498 0.3156
# total energy: -65.57 eV/cell


(11)
# BaCuI2O | the Alexandria database | PBE | optimized geometry
data_BaCuI2O
_chemical_formula_sum 'Ba1 Cu1 I2 O1'
_space_group_name_H-M_alt 'P 4/m m m'
_space_group_IT_number 123
_space_group_name_Hall '-P 4 2'
_cell_length_a 6.800
_cell_length_b 6.800
_cell_length_c 4.488
_cell_angle_alpha 90.00
_cell_angle_beta 90.00
_cell_angle_gamma 90.00
loop_
_atom_site_label
_atom_site_type_symbol
_atom_site_fract_x
_atom_site_fract_y
_atom_site_fract_z
Ba1 Ba 0.000 0.000 0.000
Cu1 Cu 0.500 0.500 0.500
I1 I 0.000 0.500 0.000
O1 O 0.000 0.000 0.500
# offset from the most stable computed form: 3.01 eV per formula unit
# uncorrected formation energy: -0.2347 eV/atom


(12)
# Zn2AgAu2 | the Alexandria database | PBE | optimized geometry
data_Zn2AgAu2
_chemical_formula_sum 'Zn4 Ag2 Au4'
_space_group_name_H-M_alt 'P 4/m b m'
_space_group_IT_number 127
_space_group_name_Hall '-P 4 2ab'
_cell_length_a 7.486
_cell_length_b 7.486
_cell_length_c 3.080
_cell_angle_alpha 90.00
_cell_angle_beta 90.00
_cell_angle_gamma 90.00
loop_
_atom_site_label
_atom_site_type_symbol
_atom_site_fract_x
_atom_site_fract_y
_atom_site_fract_z
Zn1 Zn 0.160 0.340 0.000
Ag1 Ag 0.000 0.000 0.500
Au1 Au 0.140 0.640 0.500
# offset from the most stable computed form: 0.07 eV per formula unit
# energy of formation: -0.705 eV/f.u.


(13)
# Sc2HgMo | the Alexandria database | PBE | optimized geometry
data_Sc2HgMo
_chemical_formula_sum 'Sc2 Hg1 Mo1'
_space_group_name_H-M_alt 'P m m m'
_space_group_IT_number 47
_space_group_name_Hall '-P 2 2'
_cell_length_a 3.292
_cell_length_b 3.457
_cell_length_c 7.038
_cell_angle_alpha 90.00
_cell_angle_beta 90.00
_cell_angle_gamma 90.00
loop_
_atom_site_label
_atom_site_type_symbol
_atom_site_fract_x
_atom_site_fract_y
_atom_site_fract_z
Sc1 Sc 0.000 0.000 0.224
Hg1 Hg 0.500 0.500 0.500
Mo1 Mo 0.500 0.500 0.000
# energy of formation: -0.523 eV/f.u.